# 1
TlAg2Pb: optimized geometry, PBE.

Symmetry: No. 6
Polymorph energy (0 for the lowest one): 0.004 eV/atom
ΔH_f (0 K): 0.09 eV/atom
V: 97.0 Å³/f.u.
Fermi-level density of states: 1.507 states/eV/cell

```
TlAg2Pb
1.0
3.691 0.000 0.000
0.000 4.717 0.000
-1.744 0.000 5.570
Tl Ag Pb
1 2 1
Direct
0.000 0.000 0.000
0.571 0.500 0.149
0.723 0.000 0.454
0.295 0.500 0.603
```

***

# 2
Tb3Zn8Ag: optimized geometry, PBE.

Symmetry: No. 160
ΔH_f (0 K): -0.29 eV/atom
V: 222.9 Å³/f.u.
Fermi-level density of states: 4.795 states/eV/cell

```
Tb3Zn8Ag
1.0
2.697 1.557 8.848
-2.697 1.557 8.848
0.000 -3.114 8.848
Tb Zn Ag
3 8 1
Direct
0.000 0.000 0.000
0.126 0.126 0.126
0.510 0.510 0.510
0.065 0.065 0.568
0.065 0.568 0.065
0.067 0.565 0.565
0.316 0.316 0.316
0.565 0.067 0.565
0.565 0.565 0.067
0.568 0.065 0.065
0.816 0.816 0.816
0.631 0.631 0.631
```

***

# 3
PdI2Cl8: optimized geometry, PBE.

E_form (uncorrected): -0.17 eV/atom
Symmetry: No. 12
V: 346.9 Å³/f.u.

```
PdI2Cl8
1.0
6.978 -3.830 0.000
6.978 3.830 0.000
-1.756 0.000 6.490
Pd I Cl
1 2 8
Direct
0.000 0.000 0.000
0.244 0.244 0.714
0.756 0.756 0.286
0.112 0.692 0.100
0.120 0.120 0.384
0.308 0.888 0.900
0.380 0.380 0.562
0.620 0.620 0.438
0.692 0.112 0.100
0.880 0.880 0.616
0.888 0.308 0.900
```

***

# 4
CePbAu2: optimized geometry, PBE.

Symmetry: No. 123
ΔH_f (0 K): -0.42 eV/atom
V: 97.8 Å³/f.u.
Fermi-level density of states: 7.833 states/eV/cell

```
CePbAu2
1.0
4.840 0.000 0.000
0.000 4.840 0.000
0.000 0.000 4.174
Ce Pb Au
1 1 2
Direct
0.000 0.000 0.000
0.500 0.500 0.000
0.000 0.500 0.500
0.500 0.000 0.500
```

***

# 5
KLaSCl2: optimized geometry, PBE.

E_form (uncorrected): -1.99 eV/atom
Symmetry: No. 123
Polymorph energy (0 for the lowest one): 0.000 eV/atom
V: 176.4 Å³/f.u.
Fermi-level density of states: 0.000 states/eV/cell

```
KLaSCl2
1.0
5.664 0.000 0.000
0.000 5.664 0.000
0.000 0.000 5.500
K La S Cl
1 1 1 2
Direct
0.000 0.000 0.000
0.500 0.500 0.500
0.500 0.500 0.000
0.000 0.500 0.500
0.500 0.000 0.500
```

***

# 6
Th2CdCu: optimized geometry, PBE.

Symmetry: No. 123
Polymorph energy (0 for the lowest one): 0.000 eV/atom
ΔH_f (0 K): -0.07 eV/atom
V: 100.8 Å³/f.u.
Fermi-level density of states: 3.075 states/eV/cell

```
Th2CdCu
1.0
3.395 0.000 0.000
0.000 3.395 0.000
0.000 0.000 8.741
Th Cd Cu
2 1 1
Direct
0.000 0.000 0.222
0.000 0.000 0.778
0.500 0.500 0.500
0.500 0.500 0.000
```

***

# 7
CaAgRu3: optimized geometry, PBE.

Symmetry: No. 221
Polymorph energy (0 for the lowest one): 0.504 eV/atom
ΔH_f (0 K): 2.22 eV/atom
V: 105.0 Å³/f.u.
Fermi-level density of states: 4.809 states/eV/cell

```
CaAgRu3
1.0
4.717 0.000 0.000
0.000 4.717 0.000
0.000 0.000 4.717
Ca Ag Ru
1 1 3
Direct
0.000 0.000 0.000
0.500 0.500 0.500
0.000 0.000 0.500
0.000 0.500 0.000
0.500 0.000 0.000
```

***

# 8
LuVIrRu: optimized geometry, PBE.

Symmetry: No. 216
ΔH_f (0 K): -0.38 eV/atom
V: 64.6 Å³/f.u.
Fermi-level density of states: 4.352 states/eV/cell

```
LuVIrRu
1.0
0.000 3.184 3.184
3.184 0.000 3.184
3.184 3.184 0.000
Lu V Ir Ru
1 1 1 1
Direct
0.000 0.000 0.000
0.500 0.500 0.500
0.750 0.750 0.750
0.250 0.250 0.250
```

***

# 9
RbCBr2: optimized geometry, PBE.

E_form (uncorrected): 1.01 eV/atom
Symmetry: No. 225
Polymorph energy (0 for the lowest one): 0.527 eV/atom
V: 115.1 Å³/f.u.
Fermi-level density of states: 10.610 states/eV/cell

```
RbCBr2
1.0
0.000 3.861 3.861
3.861 0.000 3.861
3.861 3.861 0.000
Rb C Br
1 1 2
Direct
0.000 0.000 0.000
0.500 0.500 0.500
0.250 0.250 0.250
0.750 0.750 0.750
```

***

# 10
Ag5GeTe6: optimized geometry, PBE.

E_form (uncorrected): -0.01 eV/atom
Symmetry: No. 12
V: 305.3 Å³/f.u.
Fermi-level density of states: 5.023 states/eV/cell

```
Ag5GeTe6
1.0
3.634 -6.212 0.000
3.634 6.212 0.000
-2.522 0.000 6.762
Ag Ge Te
5 1 6
Direct
0.000 0.000 0.000
0.173 0.827 0.500
0.341 0.659 0.000
0.659 0.341 0.000
0.827 0.173 0.500
0.500 0.500 0.500
0.105 0.434 0.239
0.230 0.230 0.725
0.434 0.105 0.239
0.566 0.895 0.761
0.770 0.770 0.275
0.895 0.566 0.761
```

***

# 11
LiCe2Cd: optimized geometry, PBE.

Symmetry: No. 166
Polymorph energy (0 for the lowest one): 0.073 eV/atom
ΔH_f (0 K): 0.07 eV/atom
V: 97.1 Å³/f.u.
Fermi-level density of states: 6.515 states/eV/cell

```
LiCe2Cd
1.0
1.516 0.875 12.198
-1.516 0.875 12.198
0.000 -1.750 12.198
Li Ce Cd
1 2 1
Direct
0.000 0.000 0.000
0.086 0.086 0.086
0.914 0.914 0.914
0.500 0.500 0.500
```

***

# 12
SrNiCl2: optimized geometry, PBE.

E_form (uncorrected): -0.51 eV/atom
Symmetry: No. 216
Polymorph energy (0 for the lowest one): 0.721 eV/atom
V: 88.6 Å³/f.u.
Fermi-level density of states: 8.272 states/eV/cell

```
SrNiCl2
1.0
0.000 3.538 3.538
3.538 0.000 3.538
3.538 3.538 0.000
Sr Ni Cl
1 1 2
Direct
0.000 0.000 0.000
0.750 0.750 0.750
0.250 0.250 0.250
0.500 0.500 0.500
```

***

| no. | VASP energy (eV/cell) |
| --- | --- |
| 1 | -11.43 |
| 2 | -30.42 |
| 3 | -24.94 |
| 4 | -17.87 |
| 5 | -23.79 |
| 6 | -20.15 |
| 7 | -21.56 |
| 8 | -33.28 |
| 9 | -9.49 |
| 10 | -37.88 |
| 11 | -14.40 |
| 12 | -13.19 |